## SiAgS2 (PBE-GGA)

Data for an optimized crystal structure of SiAgS2.

Results
raw formation energy	-0.17	eV per atom

abc: 5.582 4.952 19.753
angles: 90.00 106.41 90.00
Space group P2_1/c (No. 14)
Symmetry-distinct sites (fractional):
Si 0.250 0.000 0.000
Ag 0.094 0.249 0.250
S 0.066 0.717 0.565
S 0.436 0.717 0.435



## BeAl2CdAu5 (PBE-GGA)

Data for an optimized crystal structure of BeAl2CdAu5.

Results
energy of formation from the pure elements	-0.15	eV/atom

abc: 4.442 5.625 13.613
angles: 90.00 90.00 90.00
Space group Immm (No. 71)
Symmetry-distinct sites (fractional):
Be 0.000 0.000 0.000
Al 0.000 0.500 0.303
Cd 0.000 0.000 0.500
Au 0.000 0.253 0.142
Au 0.000 0.500 0.500



## BaPrEu2 (PBE-GGA)

Data for an optimized crystal structure of BaPrEu2.

Results
excess energy over the best structure of this formula in the dataset	5	meV per atom
energy of formation from the pure elements	0.09	eV/atom

abc: 3.9524 3.9524 39.2312
angles: 90.00 90.00 120.00
Space group R-3m (No. 166, hexagonal axes)
Symmetry-distinct sites (fractional):
Ba 0.0000 0.0000 0.0000
Pr 0.0000 0.0000 0.5000
Eu 0.0000 0.0000 0.2443



## Ca5TmBi5 (PBE-GGA)

Data for an optimized crystal structure of Ca5TmBi5.

Results
energy of formation from the pure elements	-0.66	eV/atom

abc: 15.042 6.379 8.984
angles: 90.00 107.99 90.00
Space group C2/m (No. 12)
Symmetry-distinct sites (fractional):
Ca 0.000 0.000 0.000
Ca 0.178 0.500 0.355
Ca 0.185 0.500 0.823
Tm 0.000 0.000 0.500
Bi 0.000 0.500 0.500
Bi 0.151 0.000 0.328
Bi 0.160 0.000 0.828



## Re2RuPt (PBE-GGA)

Data for an optimized crystal structure of Re2RuPt.

Results
excess energy over the best structure of this formula in the dataset	383	meV per atom
energy of formation from the pure elements	0.26	eV/atom

abc: 3.279 3.279 5.613
angles: 90.00 90.00 90.00
Space group P4mm (No. 99)
Symmetry-distinct sites (fractional):
Re 0.000 0.000 0.000
Re 0.500 0.500 0.250
Ru 0.000 0.000 0.494
Pt 0.500 0.500 0.743



## NbSnAs2Se (PBE-GGA)

Data for an optimized crystal structure of NbSnAs2Se.

Results
excess energy over the best structure of this formula in the dataset	1114	meV per atom
raw formation energy	1.23	eV per atom

abc: 5.078 5.078 5.141
angles: 90.00 90.00 90.00
Space group P4/mmm (No. 123)
Symmetry-distinct sites (fractional):
Nb 0.000 0.000 0.000
Sn 0.500 0.500 0.500
As 0.000 0.500 0.500
Se 0.500 0.500 0.000



## H3PtI (PBE-GGA)

Data for an optimized crystal structure of H3PtI.

Results
excess energy over the best structure of this formula in the dataset	0	meV per atom

abc: 4.836 4.836 6.964
angles: 90.00 90.00 90.00
Space group P-42_1m (No. 113)
Symmetry-distinct sites (fractional):
H 0.000 0.500 0.182
H 0.250 0.250 0.001
Pt 0.000 0.500 0.956
I 0.000 0.500 0.574



## SrGeS2 (PBE-GGA)

Data for an optimized crystal structure of SrGeS2.

Results
raw formation energy	-1.20	eV per atom

abc: 4.170 4.101 5.812
angles: 90.00 105.79 90.00
Space group Pm (No. 6)
Symmetry-distinct sites (fractional):
Sr 0.000 0.000 0.000
Ge 0.628 0.500 0.527
S 0.282 0.000 0.555
S 0.539 0.500 0.117



## TiInCu (PBE-GGA)

Data for an optimized crystal structure of TiInCu.

Results
energy of formation from the pure elements	-0.05	eV/atom

abc: 4.177 3.884 12.705
angles: 90.00 90.00 90.00
Space group Amm2 (No. 38)
Symmetry-distinct sites (fractional):
Ti 0.000 0.000 0.000
Ti 0.000 0.000 0.335
In 0.500 0.000 0.159
In 0.500 0.000 0.844
Cu 0.000 0.000 0.649
Cu 0.500 0.000 0.500



## AlZn3Au (PBE-GGA)

Data for an optimized crystal structure of AlZn3Au.

Results
excess energy over the best structure of this formula in the dataset	176	meV per atom
energy of formation from the pure elements	0.50	eV/atom

abc: 4.811 4.811 4.811
angles: 90.00 90.00 90.00
Space group Pm-3m (No. 221)
Symmetry-distinct sites (fractional):
Al 0.000 0.000 0.000
Zn 0.000 0.000 0.500
Au 0.500 0.500 0.500



| no. | total moment (μB per formula unit) |
| --- | --- |
| 1 | 0.000 |
| 2 | 0.000 |
| 3 | 15.553 |
| 4 | 0.000 |
| 5 | 0.687 |
| 6 | 0.000 |
| 7 | 0.000 |
| 8 | 0.000 |
| 9 | 0.571 |
| 10 | 0.000 |